# 1
VASP calculation (GGA-PBEsol) on NiMoAs2 after structural relaxation.

Geometry as CIF:
```
data_NiMoAs2
_cell_length_a 5.136
_cell_length_b 5.136
_cell_length_c 5.136
_cell_angle_alpha 139.06
_cell_angle_beta 139.06
_cell_angle_gamma 59.28
_space_group_name_H-M_alt 'P 1'
_space_group_IT_number 1
loop_
_space_group_symop_operation_xyz
'x,y,z'
loop_
_atom_site_label
_atom_site_fract_x
_atom_site_fract_y
_atom_site_fract_z
Ni1 0.000 0.000 0.000
Mo1 0.250 0.750 0.500
As1 0.500 0.500 0.000
As2 0.750 0.250 0.500
```

Computed properties:
crystal system = tetragonal
M_tot = 0.00 μB per formula unit
Fermi-level density of states = 3.65 states/eV/cell
DFT formation energy = 0.114 eV per atom

---

# 2
VASP calculation (GGA-PBEsol) on CaMnP2O7 after structural relaxation.

Geometry as CIF:
```
data_CaMnP2O7
_cell_length_a 7.341
_cell_length_b 8.816
_cell_length_c 9.149
_cell_angle_alpha 90.00
_cell_angle_beta 116.42
_cell_angle_gamma 90.00
_space_group_name_H-M_alt 'P 1'
_space_group_IT_number 1
loop_
_space_group_symop_operation_xyz
'x,y,z'
loop_
_atom_site_label
_atom_site_fract_x
_atom_site_fract_y
_atom_site_fract_z
Ca1 0.239 0.055 0.384
Ca2 0.239 0.445 0.884
Ca3 0.761 0.555 0.116
Ca4 0.761 0.945 0.616
Mn1 0.262 0.061 0.877
Mn2 0.262 0.439 0.377
Mn3 0.738 0.561 0.623
Mn4 0.738 0.939 0.123
P1 0.031 0.748 0.468
P2 0.031 0.752 0.968
P3 0.462 0.738 0.273
P4 0.462 0.762 0.773
P5 0.538 0.238 0.227
P6 0.538 0.262 0.727
P7 0.969 0.248 0.032
P8 0.969 0.252 0.532
O1 0.014 0.107 0.636
O2 0.014 0.393 0.136
O3 0.048 0.606 0.380
O4 0.048 0.894 0.880
O5 0.114 0.230 0.954
O6 0.114 0.270 0.454
O7 0.249 0.712 0.115
O8 0.249 0.788 0.615
O9 0.383 0.244 0.296
O10 0.383 0.256 0.796
O11 0.459 0.616 0.862
O12 0.459 0.884 0.362
O13 0.483 0.596 0.377
O14 0.483 0.904 0.877
O15 0.517 0.096 0.123
O16 0.517 0.404 0.623
O17 0.541 0.116 0.638
O18 0.541 0.384 0.138
O19 0.617 0.744 0.204
O20 0.617 0.756 0.704
O21 0.751 0.212 0.385
O22 0.751 0.288 0.885
O23 0.886 0.730 0.546
O24 0.886 0.770 0.046
O25 0.952 0.106 0.120
O26 0.952 0.394 0.620
O27 0.986 0.607 0.864
O28 0.986 0.893 0.364
```

Computed properties:
formation energy from raw total energies = -2.36 eV per atom
crystal system = monoclinic
offset from the most stable computed form = 0.14 eV/f.u.
M_tot = 5.00 μB per formula unit
Fermi-level density of states = 0.00 states/eV/cell

---

# 3
VASP calculation (GGA-PBEsol) on Li2TlCr after structural relaxation.

Geometry as CIF:
```
data_Li2TlCr
_cell_length_a 5.566
_cell_length_b 5.566
_cell_length_c 3.073
_cell_angle_alpha 103.53
_cell_angle_beta 103.53
_cell_angle_gamma 120.06
_space_group_name_H-M_alt 'P 1'
_space_group_IT_number 1
loop_
_space_group_symop_operation_xyz
'x,y,z'
loop_
_atom_site_label
_atom_site_fract_x
_atom_site_fract_y
_atom_site_fract_z
Li1 0.000 0.500 0.000
Li2 0.500 0.000 0.000
Tl1 0.000 0.000 0.500
Cr1 0.500 0.500 0.500
```

Computed properties:
crystal system = monoclinic
M_tot = 3.90 μB per formula unit
Fermi-level density of states = 1.72 states/eV/cell
DFT formation energy = 0.309 eV per atom

---

# 4
VASP calculation (GGA-PBEsol) on SmGe12Pt4 after structural relaxation.

Geometry as CIF:
```
data_SmGe12Pt4
_cell_length_a 7.443
_cell_length_b 7.443
_cell_length_c 7.443
_cell_angle_alpha 109.47
_cell_angle_beta 109.47
_cell_angle_gamma 109.47
_space_group_name_H-M_alt 'P 1'
_space_group_IT_number 1
loop_
_space_group_symop_operation_xyz
'x,y,z'
loop_
_atom_site_label
_atom_site_fract_x
_atom_site_fract_y
_atom_site_fract_z
Sm1 0.000 0.000 0.000
Ge1 0.150 0.504 0.354
Ge2 0.150 0.797 0.646
Ge3 0.203 0.354 0.850
Ge4 0.354 0.150 0.504
Ge5 0.354 0.850 0.203
Ge6 0.496 0.646 0.850
Ge7 0.504 0.354 0.150
Ge8 0.646 0.150 0.797
Ge9 0.646 0.850 0.496
Ge10 0.797 0.646 0.150
Ge11 0.850 0.203 0.354
Ge12 0.850 0.496 0.646
Pt1 0.000 0.000 0.500
Pt2 0.000 0.500 0.000
Pt3 0.500 0.000 0.000
Pt4 0.500 0.500 0.500
```

Computed properties:
crystal system = cubic
M_tot = 0.00 μB per formula unit
Fermi-level density of states = 8.59 states/eV/cell
DFT formation energy = -0.410 eV per atom